(1)
# Ac8Pt6Cl | the Alexandria database | PBE-GGA | optimized geometry
data_Ac8Pt6Cl
_chemical_formula_sum 'Ac8 Pt6 Cl1'
_cell_length_a 11.5493
_cell_length_b 11.5493
_cell_length_c 4.6012
_cell_angle_alpha 90.00
_cell_angle_beta 90.00
_cell_angle_gamma 120.00
_space_group_name_H-M_alt 'P -3'
_space_group_IT_number 147
_space_group_name_Hall '-P 3'
loop_
_atom_site_label
_atom_site_type_symbol
_atom_site_fract_x
_atom_site_fract_y
_atom_site_fract_z
Ac1 Ac 0.0300 0.3558 0.2439
Ac2 Ac 0.3333 0.6667 0.7531
Pt1 Pt 0.1480 0.6645 0.2543
Cl1 Cl 0.0000 0.0000 0.0000
# energy relative to the elements, uncorrected	-1.0742	eV/atom
# volume	35.4	Å³/atom



(2)
# TbEr2PuSe4 | the Alexandria database | PBE-GGA | optimized geometry
data_TbEr2PuSe4
_chemical_formula_sum 'Tb1 Er2 Pu1 Se4'
_cell_length_a 7.065
_cell_length_b 4.055
_cell_length_c 7.078
_cell_angle_alpha 90.00
_cell_angle_beta 109.11
_cell_angle_gamma 90.00
_space_group_name_H-M_alt 'P 1 2/m 1'
_space_group_IT_number 10
_space_group_name_Hall '-P 2y'
loop_
_atom_site_label
_atom_site_type_symbol
_atom_site_fract_x
_atom_site_fract_y
_atom_site_fract_z
Tb1 Tb 0.000 0.000 0.000
Er1 Er 0.000 0.500 0.500
Er2 Er 0.500 0.000 0.500
Pu1 Pu 0.500 0.500 0.000
Se1 Se 0.246 0.000 0.742
Se2 Se 0.251 0.500 0.257
# energy relative to the elements, uncorrected	-1.6985	eV/atom
# volume	23.9	Å³/atom



(3)
# PuTlBO5 | the Alexandria database | PBE-GGA | optimized geometry
data_PuTlBO5
_chemical_formula_sum 'Pu4 Tl4 B4 O20'
_cell_length_a 7.015
_cell_length_b 9.097
_cell_length_c 7.825
_cell_angle_alpha 90.00
_cell_angle_beta 115.83
_cell_angle_gamma 90.00
_space_group_name_H-M_alt 'C 1 2/c 1'
_space_group_IT_number 15
_space_group_name_Hall '-C 2yc'
loop_
_atom_site_label
_atom_site_type_symbol
_atom_site_fract_x
_atom_site_fract_y
_atom_site_fract_z
Pu1 Pu 0.250 0.250 0.000
Tl1 Tl 0.000 0.094 0.250
B1 B 0.000 0.443 0.250
O1 O 0.000 0.185 0.750
O2 O 0.060 0.346 0.126
O3 O 0.187 0.462 0.869
# energy relative to the elements, uncorrected	-1.9628	eV/atom
# volume	14.0	Å³/atom



(4)
# AcTbTlCd | the Alexandria database | PBE-GGA | optimized geometry
data_AcTbTlCd
_chemical_formula_sum 'Ac4 Tb4 Tl4 Cd4'
_cell_length_a 7.924
_cell_length_b 7.924
_cell_length_c 7.924
_cell_angle_alpha 90.00
_cell_angle_beta 90.00
_cell_angle_gamma 90.00
_space_group_name_H-M_alt 'F -4 3 m'
_space_group_IT_number 216
_space_group_name_Hall 'F -4 2 3'
loop_
_atom_site_label
_atom_site_type_symbol
_atom_site_fract_x
_atom_site_fract_y
_atom_site_fract_z
Ac1 Ac 0.000 0.000 0.000
Tb1 Tb 0.000 0.000 0.500
Tl1 Tl 0.250 0.250 0.250
Cd1 Cd 0.250 0.250 0.750
# formation energy	-0.300	eV/atom
# volume	31.1	Å³/atom
# distance to the lowest polymorph of the same formula	0.0193	eV/atom



(5)
# CuN2O | the Alexandria database | PBE-GGA | optimized geometry
data_CuN2O
_chemical_formula_sum 'Cu4 N8 O4'
_cell_length_a 4.302
_cell_length_b 4.302
_cell_length_c 8.856
_cell_angle_alpha 90.00
_cell_angle_beta 90.00
_cell_angle_gamma 90.00
_space_group_name_H-M_alt 'I -4 2 d'
_space_group_IT_number 122
_space_group_name_Hall 'I -4 2bw'
loop_
_atom_site_label
_atom_site_type_symbol
_atom_site_fract_x
_atom_site_fract_y
_atom_site_fract_z
Cu1 Cu 0.000 0.000 0.000
N1 N 0.243 0.250 0.625
O1 O 0.000 0.000 0.500
# energy relative to the elements, uncorrected	1.7080	eV/atom
# volume	10.2	Å³/atom



(6)
# HoTiAlCu | the Alexandria database | PBE-GGA | optimized geometry
data_HoTiAlCu
_chemical_formula_sum 'Ho4 Ti4 Al4 Cu4'
_cell_length_a 6.710
_cell_length_b 6.710
_cell_length_c 6.710
_cell_angle_alpha 90.00
_cell_angle_beta 90.00
_cell_angle_gamma 90.00
_space_group_name_H-M_alt 'F -4 3 m'
_space_group_IT_number 216
_space_group_name_Hall 'F -4 2 3'
loop_
_atom_site_label
_atom_site_type_symbol
_atom_site_fract_x
_atom_site_fract_y
_atom_site_fract_z
Ho1 Ho 0.000 0.000 0.000
Ti1 Ti 0.000 0.000 0.500
Al1 Al 0.250 0.250 0.250
Cu1 Cu 0.250 0.250 0.750
# formation energy	-0.133	eV/atom
# volume	18.9	Å³/atom



(7)
# Sm2TmTh4 | the Alexandria database | PBE-GGA | optimized geometry
data_Sm2TmTh4
_chemical_formula_sum 'Sm4 Tm2 Th8'
_cell_length_a 3.571
_cell_length_b 36.150
_cell_length_c 3.572
_cell_angle_alpha 90.00
_cell_angle_beta 90.00
_cell_angle_gamma 90.00
_space_group_name_H-M_alt 'C m m m'
_space_group_IT_number 65
_space_group_name_Hall '-C 2 2'
loop_
_atom_site_label
_atom_site_type_symbol
_atom_site_fract_x
_atom_site_fract_y
_atom_site_fract_z
Sm1 Sm 0.000 0.206 0.000
Tm1 Tm 0.000 0.500 0.500
Th1 Th 0.000 0.070 0.000
Th2 Th 0.000 0.363 0.500
# formation energy	0.076	eV/atom
# volume	32.9	Å³/atom



(8)
# NpHO | the Alexandria database | PBE-GGA | optimized geometry
data_NpHO
_chemical_formula_sum 'Np4 H4 O4'
_cell_length_a 3.846
_cell_length_b 7.345
_cell_length_c 4.928
_cell_angle_alpha 90.00
_cell_angle_beta 90.00
_cell_angle_gamma 90.00
_space_group_name_H-M_alt 'C m c m'
_space_group_IT_number 63
_space_group_name_Hall '-C 2c 2'
loop_
_atom_site_label
_atom_site_type_symbol
_atom_site_fract_x
_atom_site_fract_y
_atom_site_fract_z
Np1 Np 0.000 0.148 0.250
H1 H 0.000 0.500 0.000
O1 O 0.000 0.178 0.750
# volume	11.6	Å³/atom
# distance to the lowest polymorph of the same formula	0.1278	eV/atom



(9)
# TbB2Pt7 | the Alexandria database | PBE-GGA | optimized geometry
data_TbB2Pt7
_chemical_formula_sum 'Tb2 B4 Pt14'
_cell_length_a 7.123
_cell_length_b 11.191
_cell_length_c 4.184
_cell_angle_alpha 90.00
_cell_angle_beta 90.00
_cell_angle_gamma 90.00
_space_group_name_H-M_alt 'C m m m'
_space_group_IT_number 65
_space_group_name_Hall '-C 2 2'
loop_
_atom_site_label
_atom_site_type_symbol
_atom_site_fract_x
_atom_site_fract_y
_atom_site_fract_z
Tb1 Tb 0.000 0.000 0.000
B1 B 0.000 0.308 0.500
Pt1 Pt 0.000 0.263 0.000
Pt2 Pt 0.000 0.500 0.500
Pt3 Pt 0.197 0.133 0.500
# formation energy	-0.330	eV/atom
# volume	16.7	Å³/atom



(10)
# Sc2ZnHg2 | the Alexandria database | PBE-GGA | optimized geometry
data_Sc2ZnHg2
_chemical_formula_sum 'Sc4 Zn2 Hg4'
_cell_length_a 3.414
_cell_length_b 19.001
_cell_length_c 3.327
_cell_angle_alpha 90.00
_cell_angle_beta 90.00
_cell_angle_gamma 90.00
_space_group_name_H-M_alt 'C m m m'
_space_group_IT_number 65
_space_group_name_Hall '-C 2 2'
loop_
_atom_site_label
_atom_site_type_symbol
_atom_site_fract_x
_atom_site_fract_y
_atom_site_fract_z
Sc1 Sc 0.000 0.087 0.000
Zn1 Zn 0.000 0.500 0.500
Hg1 Hg 0.000 0.314 0.500
# formation energy	-0.259	eV/atom
# volume	21.6	Å³/atom
# distance to the lowest polymorph of the same formula	0.0001	eV/atom



(11)
# ScVB2Br | the Alexandria database | PBE-GGA | optimized geometry
data_ScVB2Br
_chemical_formula_sum 'Sc1 V1 B2 Br1'
_cell_length_a 4.311
_cell_length_b 4.311
_cell_length_c 4.522
_cell_angle_alpha 90.00
_cell_angle_beta 90.00
_cell_angle_gamma 90.00
_space_group_name_H-M_alt 'P 4/m m m'
_space_group_IT_number 123
_space_group_name_Hall '-P 4 2'
loop_
_atom_site_label
_atom_site_type_symbol
_atom_site_fract_x
_atom_site_fract_y
_atom_site_fract_z
Sc1 Sc 0.000 0.000 0.000
V1 V 0.500 0.500 0.000
B1 B 0.000 0.500 0.500
Br1 Br 0.500 0.500 0.500
# energy relative to the elements, uncorrected	1.7702	eV/atom
# volume	16.8	Å³/atom



(12)
# V6SnC | the Alexandria database | PBE-GGA | optimized geometry
data_V6SnC
_chemical_formula_sum 'V18 Sn3 C3'
_cell_length_a 7.5596
_cell_length_b 7.5596
_cell_length_c 6.8166
_cell_angle_alpha 90.00
_cell_angle_beta 90.00
_cell_angle_gamma 120.00
_space_group_name_H-M_alt 'R -3 m'
_space_group_IT_number 166
_space_group_name_Hall '-R 3 2"'
loop_
_atom_site_label
_atom_site_type_symbol
_atom_site_fract_x
_atom_site_fract_y
_atom_site_fract_z
V1 V 0.0798 0.5399 0.3320
Sn1 Sn 0.0000 0.0000 0.0000
C1 C 0.0000 0.0000 0.5000
# formation energy	-0.009	eV/atom
# volume	14.1	Å³/atom



(13)
# AcNd2Co | the Alexandria database | PBE-GGA | optimized geometry
data_AcNd2Co
_chemical_formula_sum 'Ac1 Nd2 Co1'
_cell_length_a 3.603
_cell_length_b 3.603
_cell_length_c 9.414
_cell_angle_alpha 90.00
_cell_angle_beta 90.00
_cell_angle_gamma 90.00
_space_group_name_H-M_alt 'P 4/m m m'
_space_group_IT_number 123
_space_group_name_Hall '-P 4 2'
loop_
_atom_site_label
_atom_site_type_symbol
_atom_site_fract_x
_atom_site_fract_y
_atom_site_fract_z
Ac1 Ac 0.000 0.000 0.000
Nd1 Nd 0.500 0.500 0.326
Co1 Co 0.000 0.000 0.500
# formation energy	0.068	eV/atom
# volume	30.6	Å³/atom
# distance to the lowest polymorph of the same formula	0.1149	eV/atom



(14)
# Hf2V2W | the Alexandria database | PBE-GGA | optimized geometry
data_Hf2V2W
_chemical_formula_sum 'Hf4 V4 W2'
_cell_length_a 6.303
_cell_length_b 6.303
_cell_length_c 4.580
_cell_angle_alpha 90.00
_cell_angle_beta 90.00
_cell_angle_gamma 90.00
_space_group_name_H-M_alt 'P 4/m b m'
_space_group_IT_number 127
_space_group_name_Hall '-P 4 2ab'
loop_
_atom_site_label
_atom_site_type_symbol
_atom_site_fract_x
_atom_site_fract_y
_atom_site_fract_z
Hf1 Hf 0.171 0.329 0.000
V1 V 0.138 0.638 0.500
W1 W 0.000 0.000 0.500
# formation energy	0.236	eV/atom
# volume	18.2	Å³/atom



(15)
# La2ZnHg | the Alexandria database | PBE-GGA | optimized geometry
data_La2ZnHg
_chemical_formula_sum 'La6 Zn3 Hg3'
_cell_length_a 3.8258
_cell_length_b 3.8258
_cell_length_c 28.8081
_cell_angle_alpha 90.00
_cell_angle_beta 90.00
_cell_angle_gamma 120.00
_space_group_name_H-M_alt 'R -3 m'
_space_group_IT_number 166
_space_group_name_Hall '-R 3 2"'
loop_
_atom_site_label
_atom_site_type_symbol
_atom_site_fract_x
_atom_site_fract_y
_atom_site_fract_z
La1 La 0.0000 0.0000 0.2459
Zn1 Zn 0.0000 0.0000 0.5000
Hg1 Hg 0.0000 0.0000 0.0000
# formation energy	-0.218	eV/atom
# volume	30.4	Å³/atom
# distance to the lowest polymorph of the same formula	0.1990	eV/atom



(16)
# Nd3InB2Rh9 | the Alexandria database | PBE-GGA | optimized geometry
data_Nd3InB2Rh9
_chemical_formula_sum 'Nd3 In1 B2 Rh9'
_cell_length_a 5.9625
_cell_length_b 5.9625
_cell_length_c 8.6430
_cell_angle_alpha 90.00
_cell_angle_beta 90.00
_cell_angle_gamma 120.00
_space_group_name_H-M_alt 'P -3 m 1'
_space_group_IT_number 164
_space_group_name_Hall '-P 3 2"'
loop_
_atom_site_label
_atom_site_type_symbol
_atom_site_fract_x
_atom_site_fract_y
_atom_site_fract_z
Nd1 Nd 0.0000 0.0000 0.0000
Nd2 Nd 0.3333 0.6667 0.6606
In1 In 0.0000 0.0000 0.5000
B1 B 0.3333 0.6667 0.1413
Rh1 Rh 0.0000 0.5000 0.0000
Rh2 Rh 0.1695 0.3389 0.2749
# formation energy	-0.496	eV/atom
# volume	17.7	Å³/atom



(17)
# Sr2Ac6IrRu | the Alexandria database | PBE-GGA | optimized geometry
data_Sr2Ac6IrRu
_chemical_formula_sum 'Sr8 Ac24 Ir4 Ru4'
_cell_length_a 11.925
_cell_length_b 11.925
_cell_length_c 11.925
_cell_angle_alpha 90.00
_cell_angle_beta 90.00
_cell_angle_gamma 90.00
_space_group_name_H-M_alt 'F m -3 m'
_space_group_IT_number 225
_space_group_name_Hall '-F 4 2 3'
loop_
_atom_site_label
_atom_site_type_symbol
_atom_site_fract_x
_atom_site_fract_y
_atom_site_fract_z
Sr1 Sr 0.250 0.250 0.250
Ac1 Ac 0.000 0.000 0.248
Ir1 Ir 0.000 0.000 0.500
Ru1 Ru 0.000 0.000 0.000
# formation energy	-0.223	eV/atom
# volume	42.4	Å³/atom



(18)
# TbHo2Sb | the Alexandria database | PBE-GGA | optimized geometry
data_TbHo2Sb
_chemical_formula_sum 'Tb3 Ho6 Sb3'
_cell_length_a 3.9344
_cell_length_b 3.9344
_cell_length_c 29.0059
_cell_angle_alpha 90.00
_cell_angle_beta 90.00
_cell_angle_gamma 120.00
_space_group_name_H-M_alt 'R -3 m'
_space_group_IT_number 166
_space_group_name_Hall '-R 3 2"'
loop_
_atom_site_label
_atom_site_type_symbol
_atom_site_fract_x
_atom_site_fract_y
_atom_site_fract_z
Tb1 Tb 0.0000 0.0000 0.0000
Ho1 Ho 0.0000 0.0000 0.2341
Sb1 Sb 0.0000 0.0000 0.5000
# energy relative to the elements, uncorrected	-0.2825	eV/atom
# volume	32.4	Å³/atom
# distance to the lowest polymorph of the same formula	0.2671	eV/atom



(19)
# Sn2Pd2S | the Alexandria database | PBE-GGA | optimized geometry
data_Sn2Pd2S
_chemical_formula_sum 'Sn4 Pd4 S2'
_cell_length_a 7.243
_cell_length_b 7.243
_cell_length_c 3.754
_cell_angle_alpha 90.00
_cell_angle_beta 90.00
_cell_angle_gamma 90.00
_space_group_name_H-M_alt 'P 4/m b m'
_space_group_IT_number 127
_space_group_name_Hall '-P 4 2ab'
loop_
_atom_site_label
_atom_site_type_symbol
_atom_site_fract_x
_atom_site_fract_y
_atom_site_fract_z
Sn1 Sn 0.162 0.338 0.000
Pd1 Pd 0.138 0.638 0.500
S1 S 0.000 0.000 0.500
# energy relative to the elements, uncorrected	-0.2390	eV/atom
# volume	19.7	Å³/atom



(20)
# BaSn3W | the Alexandria database | PBE-GGA | optimized geometry
data_BaSn3W
_chemical_formula_sum 'Ba1 Sn3 W1'
_cell_length_a 5.339
_cell_length_b 5.339
_cell_length_c 5.339
_cell_angle_alpha 90.00
_cell_angle_beta 90.00
_cell_angle_gamma 90.00
_space_group_name_H-M_alt 'P m -3 m'
_space_group_IT_number 221
_space_group_name_Hall '-P 4 2 3'
loop_
_atom_site_label
_atom_site_type_symbol
_atom_site_fract_x
_atom_site_fract_y
_atom_site_fract_z
Ba1 Ba 0.000 0.000 0.000
Sn1 Sn 0.000 0.500 0.500
W1 W 0.500 0.500 0.500
# formation energy	0.014	eV/atom
# volume	30.4	Å³/atom
# distance to the lowest polymorph of the same formula	0.0000	eV/atom